No. 1
Material: BaZr3Ag
Method: DFT, PBE-GGA
State: relaxed

Crystal system: cubic

Cell lengths 5.347, 5.347, 5.347 Å; angles 90.00, 90.00, 90.00 degrees
Positions (direct):
Ba  0.000  0.000  0.000
Zr  0.000  0.500  0.500
Zr  0.500  0.000  0.500
Zr  0.500  0.500  0.000
Ag  0.500  0.500  0.500

---

No. 2
Material: BaZrAg
Method: DFT, PBE-GGA
State: relaxed

Crystal system: trigonal

Cell lengths 3.544, 3.544, 8.014 Å; angles 90.00, 90.00, 120.00 degrees
Positions (direct):
Ba  0.000  0.000  0.000
Zr  0.667  0.333  0.383
Ag  0.333  0.667  0.646

---

no.,theoretical density (g/cm3),energy relative to the lowest polymorph listed for this composition (meV per atom)
1,5.6,0
2,6.4,179